Computed, not measured: Zr2BeAu after structural relaxation at the GGA-PBE level of DFT.

a b c (Å): 4.114 4.114 10.000
angles (deg): 78.13 78.13 90.00
Positions (direct):
Zr (0.137, 0.625, 0.250)
Zr (0.875, 0.863, 0.750)
Be (0.500, 0.500, 0.000)
Au (0.750, 0.250, 0.500)
Au (0.000, 0.000, 0.000)
Be (0.250, 0.750, 0.500)
Zr (0.613, 0.125, 0.250)
Zr (0.375, 0.387, 0.750)

ΔH_f (0 K) (kJ/mol of atoms): 40.3

Computed, not measured: CsC2N2 after structural relaxation at the GGA-PBE level of DFT.

a b c (Å): 4.792 4.792 8.127
angles (deg): 107.15 107.15 90.00
Positions (direct):
N (0.351, 0.851, 0.000)
N (0.649, 0.149, 0.000)
Cs (0.750, 0.750, 0.500)
C (0.354, 0.146, 0.000)
N (0.149, 0.351, 0.000)
Cs (0.250, 0.250, 0.500)
C (0.146, 0.646, 0.000)
C (0.854, 0.354, 0.000)
C (0.646, 0.854, 0.000)
N (0.851, 0.649, 0.000)

Energy relative to the elements, uncorrected (meV per atom): 1115

Computed, not measured: NaMgW3 after structural relaxation at the GGA-PBE level of DFT.

a b c (Å): 4.581 4.581 4.581
angles (deg): 90.00 90.00 90.00
Positions (direct):
W (0.500, 0.000, 0.000)
Mg (0.500, 0.500, 0.500)
W (0.000, 0.000, 0.500)
W (0.000, 0.500, 0.000)
Na (0.000, 0.000, 0.000)

Energy above the most stable polymorph in this dataset (meV/atom): 155.5
ΔH_f (0 K) (kJ/mol of atoms): 275.0

Computed, not measured: Sc6Ga3Os after structural relaxation at the GGA-PBE level of DFT.

a b c (Å): 4.767 8.313 10.370
angles (deg): 108.37 90.00 90.00
Positions (direct):
Ga (0.250, 0.524, 0.381)
Sc (0.250, 0.668, 0.670)
Sc (0.750, 0.768, 0.503)
Ga (0.750, 0.613, 0.216)
Sc (0.750, 0.536, 0.911)
Sc (0.250, 0.850, 0.319)
Os (0.250, 0.956, 0.599)
Sc (0.250, 0.131, 0.167)
Os (0.750, 0.044, 0.401)
Sc (0.250, 0.105, 0.869)
Ga (0.750, 0.476, 0.619)
Sc (0.750, 0.150, 0.681)
Sc (0.250, 0.232, 0.497)
Sc (0.250, 0.464, 0.089)
Sc (0.750, 0.869, 0.833)
Sc (0.750, 0.332, 0.330)
Ga (0.750, 0.222, 0.027)
Ga (0.250, 0.387, 0.784)
Sc (0.750, 0.895, 0.131)
Ga (0.250, 0.778, 0.973)

ΔH_f (0 K) (kJ/mol of atoms): -48.3

Computed, not measured: GaPS4 after structural relaxation at the GGA-PBE level of DFT.

a b c (Å): 3.338 5.890 13.073
angles (deg): 89.69 90.00 90.00
Positions (direct):
S (0.500, 0.806, 0.602)
P (0.000, 0.000, 0.000)
S (0.000, 0.694, 0.898)
P (0.500, 0.500, 0.500)
S (0.000, 0.650, 0.395)
S (0.500, 0.150, 0.895)
S (0.500, 0.194, 0.398)
S (0.000, 0.306, 0.102)
S (0.000, 0.350, 0.605)
Ga (0.500, 0.500, 0.000)
Ga (0.000, 0.000, 0.500)
S (0.500, 0.850, 0.105)

Energy relative to the elements, uncorrected (meV per atom): -162

Computed, not measured: CeDyMg after structural relaxation at the GGA-PBE level of DFT.

a b c (Å): 3.402 3.402 7.774
angles (deg): 102.64 102.64 90.00
Positions (direct):
Ce (0.330, 0.330, 0.660)
Dy (0.005, 0.005, 0.010)
Mg (0.665, 0.665, 0.330)

Energy above the most stable polymorph in this dataset (meV/atom): 10.8
ΔH_f (0 K) (kJ/mol of atoms): 3.7

Computed, not measured: TiNbCu4 after structural relaxation at the GGA-PBE level of DFT.

a b c (Å): 4.908 4.908 4.908
angles (deg): 60.00 60.00 60.00
Positions (direct):
Cu (0.625, 0.124, 0.625)
Nb (0.250, 0.250, 0.250)
Cu (0.625, 0.625, 0.625)
Cu (0.625, 0.625, 0.124)
Ti (0.000, 0.000, 0.000)
Cu (0.124, 0.625, 0.625)

Energy above the most stable polymorph in this dataset (meV/atom): 106.6
ΔH_f (0 K) (kJ/mol of atoms): 4.1

Computed, not measured: Ac2LaCd3 after structural relaxation at the GGA-PBE level of DFT.

a b c (Å): 4.035 4.035 12.073
angles (deg): 90.00 90.00 90.00
Positions (direct):
Cd (0.000, 0.000, 0.654)
La (0.500, 0.500, 0.500)
Cd (0.000, 0.000, 0.000)
Ac (0.500, 0.500, 0.172)
Ac (0.500, 0.500, 0.828)
Cd (0.000, 0.000, 0.346)

ΔH_f (0 K) (kJ/mol of atoms): -29.3